Here is a relaxed Cs2RbMo3F12 crystal from Alexandria via LeMat-Bulk. Energies are from GGA+U.

Structure (CIF):
```
data_Cs2RbMo3F12
_chemical_formula_sum 'Cs6 Rb3 Mo9 F36'
_cell_length_a 8.0316
_cell_length_b 8.0316
_cell_length_c 19.8257
_cell_angle_alpha 90.00
_cell_angle_beta 90.00
_cell_angle_gamma 120.00
_symmetry_space_group_name_H-M 'R -3 m'
_symmetry_Int_Tables_number 166
_symmetry_space_group_name_Hall '-R 3 2"'
loop_
_atom_site_label
_atom_site_fract_x
_atom_site_fract_y
_atom_site_fract_z
Cs1 0.0000 0.0000 0.1252
Rb1 0.0000 0.0000 0.5000
Mo1 0.0000 0.5000 0.0000
F1 0.0360 0.5180 0.8967
F2 0.0755 0.5378 0.3193
```

Calculated values
density of states at the Fermi level: 0.0 states/eV/cell
total magnetic moment: 9.00 μB/f.u.
electronic total energy: -285.38 eV/cell